# GGA+U ZnNi3P4O14, relaxed
# Fermi-level density of states	0.0000	states/eV per atom
# DFT total energy	-6.3889	eV/atom
# total moment	6.0	μB/f.u.
# crystal system	monoclinic
data_ZnNi3P4O14
_chemical_formula_sum 'Zn2 Ni6 P8 O28'
_symmetry_space_group_name_H-M 'P 1 21/c 1'
_symmetry_Int_Tables_number 14
_cell_length_a 7.325
_cell_length_b 7.348
_cell_length_c 9.676
_cell_angle_alpha 90.00
_cell_angle_beta 114.16
_cell_angle_gamma 90.00
loop_
_symmetry_equiv_pos_as_xyz
'x,y,z'
'-x,-y,-z'
'-x,y+1/2,-z+1/2'
'x,-y+1/2,z+1/2'
loop_
_atom_site_label
_atom_site_type_symbol
_atom_site_fract_x
_atom_site_fract_y
_atom_site_fract_z
_atom_site_occupancy
Zn1 Zn 0.000 0.000 0.000 1
Ni1 Ni 0.319 0.127 0.477 1
Ni2 Ni 0.500 0.000 0.000 1
P1 P 0.089 0.096 0.696 1
P2 P 0.364 0.702 0.184 1
O1 O 0.122 0.240 0.594 1
O2 O 0.122 0.553 0.825 1
O3 O 0.161 0.595 0.154 1
O4 O 0.228 0.129 0.866 1
O5 O 0.299 0.617 0.598 1
O6 O 0.471 0.713 0.357 1
O7 O 0.475 0.583 0.114 1